This record from the Alexandria database describes Tb5Bi3 at its PBEsol-relaxed geometry. The functional is SCAN.

a = 11.8949 Å, b = 9.4264 Å, c = 8.1641 Å
α = 90.00°, β = 90.00°, γ = 90.00°
Space group Pnma (No. 62)
Symmetry-distinct sites (fractional):
Tb  0.0039  0.2500  0.0202 x4
Tb  0.0633  0.0604  0.6898 x8
Tb  0.2112  0.7500  0.3397 x4
Tb  0.2274  0.2500  0.3279 x4
Bi  0.0287  0.7500  0.6001 x4
Bi  0.1751  0.5072  0.0634 x8

Relative energy among the computed polymorphs = 0.0154 eV/atom

This record from the Alexandria database describes Ti3TcBi at its PBEsol-relaxed geometry. The functional is SCAN.

a = 4.9660 Å, b = 4.9660 Å, c = 4.9660 Å
α = 90.00°, β = 90.00°, γ = 90.00°
Space group Pm-3m (No. 221)
Symmetry-distinct sites (fractional):
Ti  0.0000  0.0000  0.5000 x3
Tc  0.5000  0.5000  0.5000 x1
Bi  0.0000  0.0000  0.0000 x1

This record from the Alexandria database describes TlTcBi3 at its PBEsol-relaxed geometry. The functional is SCAN.

a = 5.2984 Å, b = 5.2984 Å, c = 5.2984 Å
α = 90.00°, β = 90.00°, γ = 90.00°
Space group Pm-3m (No. 221)
Symmetry-distinct sites (fractional):
Tl  0.0000  0.0000  0.0000 x1
Tc  0.5000  0.5000  0.5000 x1
Bi  0.0000  0.5000  0.5000 x3

| no. | raw total energy (eV/atom) | calculated density (g cm⁻³) |
| --- | --- | --- |
| 1 | -59.511 | 10.3 |
| 2 | -30.770 | 6.1 |
| 3 | -68.132 | 10.4 |